Record 1
An optimized crystal structure of Ti2NiMo. Source: the Alexandria database, functional PBE-GGA.

Calculated values
energy relative to the lowest polymorph listed for this composition = 0.03 eV per formula unit
V = 14.84 Å³/atom
crystal system = tetragonal
E_form = -0.28 eV/atom
total magnetization = 0.000 μB/f.u.
calculated total energy = -8.381 eV per atom

a b c (Å): 3.1299 3.1299 6.0591
angles (deg): 90.00 90.00 90.00
Element x y z (fractional)
Ni 0.5000 0.5000 0.0000
Mo 0.5000 0.5000 0.5000
Ti 0.0000 0.0000 0.7514
Ti 0.0000 0.0000 0.2486

Record 2
An optimized crystal structure of Y5HoEr3. Source: the Alexandria database, functional PBE-GGA.

Calculated values
energy relative to the lowest polymorph listed for this composition = 0.00 eV per formula unit
V = 32.03 Å³/atom
crystal system = monoclinic
E_form = 0.12 eV/atom
total magnetization = 0.000 μB/f.u.
calculated total energy = -5.504 eV per atom

a b c (Å): 10.2603 9.7062 6.9785
angles (deg): 100.35 90.00 121.91
Element x y z (fractional)
Y 0.3155 0.0000 0.7500
Y 0.6565 0.6444 0.9108
Y 0.0121 0.3553 0.0887
Y 0.3435 0.3556 0.0892
Y 0.6567 0.6447 0.4113
Y 0.6845 0.0000 0.2500
Y 0.9880 0.6444 0.4108
Y 0.0120 0.3556 0.5892
Y 0.3433 0.3553 0.5887
Y 0.9879 0.6447 0.9113
Ho 0.6865 0.0000 0.7500
Ho 0.3135 0.0000 0.2500
Er 0.0000 0.0000 0.0000
Er 0.6565 0.3131 0.5778
Er 0.0000 0.0000 0.5000
Er 0.3435 0.6869 0.4222
Er 0.6566 0.3131 0.0778
Er 0.3434 0.6869 0.9222

Record 3
An optimized crystal structure of Pm2ErAl2. Source: the Alexandria database, functional PBE-GGA.

Calculated values
energy relative to the lowest polymorph listed for this composition = 0.80 eV per formula unit
V = 28.61 Å³/atom
crystal system = monoclinic
E_form = -0.15 eV/atom
total magnetization = 0.000 μB/f.u.
calculated total energy = -4.464 eV per atom

a b c (Å): 3.6251 6.2646 12.6816
angles (deg): 83.35 90.00 90.00
Element x y z (fractional)
Pm 0.2500 0.9342 0.8566
Pm 0.7500 0.0658 0.1434
Pm 0.2500 0.2263 0.5734
Pm 0.7500 0.7737 0.4266
Er 0.2500 0.5355 0.2101
Er 0.7500 0.4645 0.7899
Al 0.2500 0.7138 0.6278
Al 0.7500 0.2862 0.3722
Al 0.2500 0.3444 0.9842
Al 0.7500 0.6556 0.0158

Record 4
An optimized crystal structure of La3Y. Source: the Alexandria database, functional PBE-GGA.

Calculated values
V = 36.18 Å³/atom
crystal system = orthorhombic
E_form = 0.04 eV/atom
total magnetization = 0.000 μB/f.u.
calculated total energy = -5.276 eV per atom

a b c (Å): 7.4802 5.9752 6.4755
angles (deg): 90.00 90.00 90.00
Element x y z (fractional)
La 0.0000 0.5000 0.3333
La 0.5000 0.0000 0.6667
La 0.2511 0.0000 0.1658
La 0.7489 0.0000 0.1658
La 0.7511 0.5000 0.8342
La 0.2489 0.5000 0.8342
Y 0.0000 0.0000 0.6645
Y 0.5000 0.5000 0.3355

Record 5
An optimized crystal structure of La4Pr3ThS8. Source: the Alexandria database, functional PBE-GGA.

Calculated values
V = 24.75 Å³/atom
crystal system = trigonal
total magnetization = 0.000 μB/f.u.
calculated total energy = -6.728 eV per atom

a b c (Å): 8.2448 8.2409 8.2446
angles (deg): 120.02 120.00 90.00
Element x y z (fractional)
La 0.5000 0.0000 0.0000
La 0.5000 0.0000 0.5000
La 0.0000 0.0000 0.0000
La 0.0000 0.0000 0.5000
Pr 0.5000 0.5000 0.0000
Pr 0.5000 0.5000 0.5000
Pr 0.0000 0.5000 0.5000
Th 0.0000 0.5000 0.0000
S 0.2468 0.7453 0.9985
S 0.2468 0.7453 0.4936
S 0.2506 0.2517 0.5012
S 0.7516 0.7453 0.9985
S 0.2484 0.2547 0.0015
S 0.7494 0.7483 0.4988
S 0.7532 0.2547 0.5064
S 0.7532 0.2547 0.0015

Record 6
An optimized crystal structure of P2PbO6. Source: the Alexandria database, functional PBE-GGA.

Calculated values
V = 22.54 Å³/atom
crystal system = trigonal
total magnetization = 0.000 μB/f.u.
calculated total energy = -6.646 eV per atom

a b c (Å): 5.8995 6.3012 6.3012
angles (deg): 120.00 90.00 90.00
Element x y z (fractional)
P 0.7722 0.3333 0.6667
P 0.2278 0.6667 0.3333
Pb 0.0000 0.0000 0.0000
O 0.7717 0.6068 0.8034
O 0.7717 0.1966 0.8034
O 0.7717 0.1966 0.3932
O 0.2283 0.3932 0.1966
O 0.2283 0.8034 0.1966
O 0.2283 0.8034 0.6068

Record 7
An optimized crystal structure of SrVBr2. Source: the Alexandria database, functional PBE-GGA.

Calculated values
energy relative to the lowest polymorph listed for this composition = 0.08 eV per formula unit
V = 33.34 Å³/atom
crystal system = trigonal
total magnetization = 3.552 μB/f.u.
calculated total energy = -4.047 eV per atom

a b c (Å): 9.4792 9.4792 9.4792
angles (deg): 24.95 24.95 24.95
Site moments in Bohr magnetons follow the coordinates.
Element x y z (fractional)
Sr 0.0000 0.0000 0.0000  0.02
Br 0.8831 0.8831 0.8831  -0.03
Br 0.1169 0.1169 0.1169  -0.03
V 0.5000 0.5000 0.5000  2.90

Record 8
An optimized crystal structure of K4HAuI2. Source: the Alexandria database, functional PBE-GGA.

Calculated values
V = 38.96 Å³/atom
crystal system = monoclinic
total magnetization = 0.050 μB/f.u.
calculated total energy = -2.578 eV per atom

a b c (Å): 4.7820 8.2998 8.3088
angles (deg): 70.91 90.00 90.00
Element x y z (fractional)
K 0.0000 0.7210 0.7717
K 0.0000 0.2790 0.2283
K 0.5000 0.7250 0.2405
K 0.5000 0.2750 0.7595
H 0.5000 0.5000 0.0000
Au 0.0000 0.5000 0.5000
I 0.0000 0.0000 0.0000
I 0.5000 0.0000 0.5000

Record 9
An optimized crystal structure of SmDy3Rh8. Source: the Alexandria database, functional PBE-GGA.

Calculated values
V = 18.05 Å³/atom
crystal system = trigonal
E_form = -0.70 eV/atom
total magnetization = 0.000 μB/f.u.
calculated total energy = -7.149 eV per atom

a b c (Å): 5.3455 5.3455 8.7506
angles (deg): 90.00 90.00 120.00
Element x y z (fractional)
Sm 0.0000 0.0000 0.5672
Dy 0.6667 0.3333 0.4320
Dy 0.6667 0.3333 0.0662
Dy 0.0000 0.0000 0.9340
Rh 0.3333 0.6667 0.4996
Rh 0.3333 0.6667 0.9999
Rh 0.5021 0.0043 0.7518
Rh 0.5021 0.4979 0.7518
Rh 0.9957 0.4979 0.7518
Rh 0.1646 0.3293 0.2485
Rh 0.1646 0.8354 0.2485
Rh 0.6707 0.8354 0.2485

Record 10
An optimized crystal structure of LiPmDy2. Source: the Alexandria database, functional PBE-GGA.

Calculated values
energy relative to the lowest polymorph listed for this composition = 0.15 eV per formula unit
V = 30.36 Å³/atom
crystal system = trigonal
E_form = 0.11 eV/atom
total magnetization = 0.000 μB/f.u.
calculated total energy = -3.853 eV per atom

a b c (Å): 3.5295 3.5295 11.4343
angles (deg): 81.14 81.14 60.03
Element x y z (fractional)
Li 0.6668 0.6668 0.0001
Pm 0.5000 0.5000 0.5002
Dy 0.0799 0.0799 0.7600
Dy 0.2534 0.2534 0.2397

Record 11
An optimized crystal structure of NdDyLuTh. Source: the Alexandria database, functional PBE-GGA.

Calculated values
V = 32.30 Å³/atom
crystal system = cubic
E_form = 0.12 eV/atom
total magnetization = 0.000 μB/f.u.
calculated total energy = -5.203 eV per atom

a b c (Å): 5.6746 5.6746 5.6746
angles (deg): 60.00 60.00 60.00
Element x y z (fractional)
Lu 0.5000 0.5000 0.5000
Nd 0.2500 0.2500 0.2500
Th 0.7500 0.7500 0.7500
Dy 0.0000 0.0000 0.0000

Record 12
An optimized crystal structure of PrNd4Sc. Source: the Alexandria database, functional PBE-GGA.

Calculated values
energy relative to the lowest polymorph listed for this composition = 0.48 eV per formula unit
V = 33.82 Å³/atom
crystal system = monoclinic
E_form = 0.12 eV/atom
total magnetization = 0.000 μB/f.u.
calculated total energy = -4.912 eV per atom

a b c (Å): 6.6056 9.9024 6.9510
angles (deg): 90.00 90.00 116.78
Element x y z (fractional)
Pr 0.7560 0.8487 0.7500
Pr 0.2440 0.1513 0.2500
Nd 0.3135 0.5050 0.7500
Nd 0.6865 0.4950 0.2500
Nd 0.2947 0.1651 0.7500
Nd 0.7053 0.8349 0.2500
Nd 0.2087 0.8077 0.0003
Nd 0.7913 0.1923 0.5003
Nd 0.2087 0.8077 0.4997
Nd 0.7913 0.1923 0.9997
Sc 0.8218 0.5011 0.7500
Sc 0.1782 0.4989 0.2500

Record 13
An optimized crystal structure of La2CrTc. Source: the Alexandria database, functional PBE-GGA.

Calculated values
energy relative to the lowest polymorph listed for this composition = 1.53 eV per formula unit
V = 24.26 Å³/atom
crystal system = trigonal
E_form = 0.63 eV/atom
total magnetization = 3.291 μB/f.u.
calculated total energy = -6.829 eV per atom

a b c (Å): 9.4124 9.4124 9.4124
angles (deg): 21.38 21.38 21.38
Site moments in Bohr magnetons follow the coordinates.
Element x y z (fractional)
Cr 0.7500 0.7500 0.7500  3.29
La 0.9952 0.9952 0.9952  -0.12
La 0.5048 0.5048 0.5048  -0.12
Tc 0.2500 0.2500 0.2500  0.19

Record 14
An optimized crystal structure of Ca3Ho3ScTe8. Source: the Alexandria database, functional PBE-GGA.

Calculated values
V = 31.93 Å³/atom
crystal system = trigonal
total magnetization = 0.000 μB/f.u.
calculated total energy = -4.857 eV per atom

a b c (Å): 8.6867 8.6856 8.8824
angles (deg): 119.27 90.00 120.00
Element x y z (fractional)
Ca 0.0000 0.0000 0.0000
Ca 0.0000 0.5000 0.0000
Ca 0.5000 0.5000 0.0000
Ho 0.5000 0.0000 0.5000
Ho 0.5000 0.5000 0.5000
Ho 0.0000 0.5000 0.5000
Sc 0.0000 0.0000 0.5000
Te 0.2521 0.5043 0.2564
Te 0.7479 0.4957 0.7436
Te 0.7570 0.5141 0.2630
Te 0.2430 0.4859 0.7370
Te 0.7571 0.0059 0.2631
Te 0.2429 0.9941 0.7369
Te 0.2488 0.0059 0.2631
Te 0.7512 0.9941 0.7369

Record 15
An optimized crystal structure of LiMgRuRh. Source: the Alexandria database, functional PBE-GGA.

Calculated values
V = 14.49 Å³/atom
crystal system = cubic
E_form = -0.04 eV/atom
total magnetization = 1.372 μB/f.u.
calculated total energy = -5.074 eV per atom

a b c (Å): 4.3435 4.3435 4.3435
angles (deg): 60.00 60.00 60.00
Site moments in Bohr magnetons follow the coordinates.
Element x y z (fractional)
Ru 0.7500 0.7500 0.7500  0.92
Mg 0.2500 0.2500 0.2500  -0.01
Rh 0.5000 0.5000 0.5000  0.46
Li 0.0000 0.0000 0.0000  0.00

Record 16
An optimized crystal structure of MnCrPRu2. Source: the Alexandria database, functional PBE-GGA.

Calculated values
V = 16.00 Å³/atom
crystal system = tetragonal
E_form = 1.31 eV/atom
total magnetization = 0.186 μB/f.u.
calculated total energy = -7.246 eV per atom

a b c (Å): 4.3879 4.1546 4.3879
angles (deg): 90.00 90.00 90.00
Site moments in Bohr magnetons follow the coordinates.
Element x y z (fractional)
Ru 0.0000 0.0000 0.5000  0.25
Ru 0.5000 0.0000 0.0000  0.18
Mn 0.0000 0.0000 0.0000  -0.14
P 0.0000 0.5000 0.0000  0.04
Cr 0.5000 0.5000 0.5000  -0.17

Record 17
An optimized crystal structure of AlCdW2. Source: the Alexandria database, functional PBE-GGA.

Calculated values
energy relative to the lowest polymorph listed for this composition = 1.08 eV per formula unit
V = 17.24 Å³/atom
crystal system = tetragonal
E_form = 0.52 eV/atom
total magnetization = 0.000 μB/f.u.
calculated total energy = -7.119 eV per atom

a b c (Å): 3.3802 3.3802 6.0362
angles (deg): 90.00 90.00 90.00
Element x y z (fractional)
Al 0.5000 0.5000 0.2500
W 0.0000 0.0000 0.0462
W 0.0000 0.0000 0.4538
Cd 0.5000 0.5000 0.7500

Record 18
An optimized crystal structure of Na2PmAgSb2. Source: the Alexandria database, functional PBE-GGA.

Calculated values
V = 27.22 Å³/atom
crystal system = orthorhombic
total magnetization = 0.000 μB/f.u.
calculated total energy = -3.690 eV per atom

a b c (Å): 4.5833 7.7695 9.1727
angles (deg): 90.00 90.00 90.00
Element x y z (fractional)
Na 0.5000 0.0408 0.0720
Na 0.0000 0.3626 0.1645
Na 0.5000 0.5408 0.9280
Na 0.0000 0.8626 0.8355
Pm 0.0000 0.9760 0.4450
Pm 0.0000 0.4760 0.5550
Ag 0.5000 0.1434 0.6820
Ag 0.5000 0.6434 0.3180
Sb 0.0000 0.2599 0.8379
Sb 0.5000 0.2629 0.3818
Sb 0.0000 0.7599 0.1621
Sb 0.5000 0.7629 0.6182